# PBE Ba2SbAuO, optimized geometry
# - crystal system = monoclinic
# - energy relative to the elements, uncorrected (eV per atom) = -1.37
data_Ba2SbAuO
_chemical_formula_sum 'Ba4 Sb2 Au2 O2'
_cell_length_a 7.415
_cell_length_b 4.542
_cell_length_c 9.285
_cell_angle_alpha 90.00
_cell_angle_beta 108.44
_cell_angle_gamma 90.00
_space_group_name_H-M_alt 'P 1 21/m 1'
_space_group_IT_number 11
loop_
_space_group_symop_operation_xyz
'x,y,z'
'-x,-y,-z'
'-x,y+1/2,-z'
'x,-y+1/2,z'
loop_
_atom_site_label
_atom_site_type_symbol
_atom_site_fract_x
_atom_site_fract_y
_atom_site_fract_z
Ba1 Ba 0.206 0.250 0.370
Ba2 Ba 0.215 0.250 0.974
Sb1 Sb 0.309 0.750 0.694
Au1 Au 0.484 0.750 0.250
O1 O 0.141 0.750 0.159

***

# PBE GaPRu2, optimized geometry
# - ΔE_f (eV/atom) = -0.25
# - energy relative to the lowest polymorph listed for this composition (eV/atom) = 0.135
# - crystal system = trigonal
data_GaPRu2
_chemical_formula_sum 'Ga3 P3 Ru6'
_cell_length_a 3.7224
_cell_length_b 3.7224
_cell_length_c 14.9589
_cell_angle_alpha 90.00
_cell_angle_beta 90.00
_cell_angle_gamma 120.00
_space_group_name_H-M_alt 'R 3 m'
_space_group_IT_number 160
_space_group_name_Hall 'R 3 -2"'
loop_
_atom_site_label
_atom_site_type_symbol
_atom_site_fract_x
_atom_site_fract_y
_atom_site_fract_z
Ga1 Ga 0.0000 0.0000 0.0000
P1 P 0.0000 0.0000 0.8277
Ru1 Ru 0.0000 0.0000 0.2312
Ru2 Ru 0.0000 0.0000 0.4331

***

# PBE ScMnSbTe2, optimized geometry
# - energy relative to the lowest polymorph listed for this composition (eV/atom) = 0.000
# - crystal system = tetragonal
# - energy relative to the elements, uncorrected (eV per atom) = 0.11
data_ScMnSbTe2
_chemical_formula_sum 'Sc1 Mn1 Sb1 Te2'
_cell_length_a 5.246
_cell_length_b 5.246
_cell_length_c 5.059
_cell_angle_alpha 90.00
_cell_angle_beta 90.00
_cell_angle_gamma 90.00
_space_group_name_H-M_alt 'P 4/m m m'
_space_group_IT_number 123
_space_group_name_Hall '-P 4 2'
loop_
_atom_site_label
_atom_site_type_symbol
_atom_site_fract_x
_atom_site_fract_y
_atom_site_fract_z
Sc1 Sc 0.000 0.000 0.000
Mn1 Mn 0.500 0.500 0.500
Sb1 Sb 0.500 0.500 0.000
Te1 Te 0.000 0.500 0.500

***

# PBE Mg5Ge, optimized geometry
# - ΔE_f (eV/atom) = -0.02
# - energy relative to the lowest polymorph listed for this composition (eV/atom) = 0.016
# - crystal system = trigonal
data_Mg5Ge
_chemical_formula_sum 'Mg15 Ge3'
_cell_length_a 5.4079
_cell_length_b 5.4079
_cell_length_c 15.2753
_cell_angle_alpha 90.00
_cell_angle_beta 90.00
_cell_angle_gamma 120.00
_space_group_name_H-M_alt 'R 3 2'
_space_group_IT_number 155
_space_group_name_Hall 'R 3 2"'
loop_
_atom_site_label
_atom_site_type_symbol
_atom_site_fract_x
_atom_site_fract_y
_atom_site_fract_z
Mg1 Mg 0.0000 0.0000 0.1668
Mg2 Mg 0.0000 0.3397 0.0000
Ge1 Ge 0.0000 0.0000 0.5000